(1)
Crystalline Ba2SrP at its relaxed geometry, computed with PBEsol.

Computed properties:
- Fermi-level density of states (states/eV/atom) = 0.86
- formation energy (meV per atom) = -555.2

a = 7.784 Å, b = 4.491 Å, c = 11.767 Å
α = 90.00°, β = 102.62°, γ = 90.00°
Space group C2/m (No. 12)
Symmetry-distinct sites (fractional):
Ba: 0.217 0.000 0.152 (multiplicity 4)
Sr: 0.000 0.000 0.500 (multiplicity 2)
P: 0.000 0.500 0.000 (multiplicity 2)



(2)
Crystalline BaSrP2 at its relaxed geometry, computed with PBEsol.

Computed properties:
- Fermi-level density of states (states/eV/atom) = 0.05
- E above lowest polymorph (meV/atom) = 0.0
- formation energy (meV per atom) = -952.7

a = 10.947 Å, b = 4.353 Å, c = 4.727 Å
α = 90.00°, β = 98.41°, γ = 90.00°
Space group Cm (No. 8)
Symmetry-distinct sites (fractional):
Ba: 0.000 0.000 0.000 (multiplicity 2)
Sr: 0.240 0.500 0.539 (multiplicity 2)
P: 0.282 0.000 0.114 (multiplicity 2)
P: 0.449 0.000 0.453 (multiplicity 2)



(3)
Crystalline BaSrP2 at its relaxed geometry, computed with PBEsol.

Computed properties:
- Fermi-level density of states (states/eV/atom) = 0.56
- E above lowest polymorph (meV/atom) = 809.5
- formation energy (meV per atom) = -143.2

a = 7.362 Å, b = 7.362 Å, c = 7.362 Å
α = 90.00°, β = 90.00°, γ = 90.00°
Space group F-43m (No. 216)
Symmetry-distinct sites (fractional):
Ba: 0.000 0.000 0.000 (multiplicity 4)
Sr: 0.250 0.250 0.250 (multiplicity 4)
P: 0.000 0.000 0.500 (multiplicity 4)
P: 0.250 0.250 0.750 (multiplicity 4)



(4)
Crystalline Ba2SrP at its relaxed geometry, computed with PBEsol.

Computed properties:
- Fermi-level density of states (states/eV/atom) = 0.71
- formation energy (meV per atom) = -511.1

a = 3.982 Å, b = 3.982 Å, c = 10.771 Å
α = 90.00°, β = 90.00°, γ = 90.00°
Space group P4/mmm (No. 123)
Symmetry-distinct sites (fractional):
Ba: 0.000 0.000 0.154 (multiplicity 2)
Sr: 0.500 0.500 0.500 (multiplicity 1)
P: 0.500 0.500 0.000 (multiplicity 1)



(5)
Crystalline Ba3SrP at its relaxed geometry, computed with PBEsol.

Computed properties:
- Fermi-level density of states (states/eV/atom) = 1.54
- E above lowest polymorph (meV/atom) = 1316.9
- formation energy (meV per atom) = 909.2

a = 6.205 Å, b = 6.205 Å, c = 6.205 Å
α = 90.00°, β = 90.00°, γ = 90.00°
Space group Pm-3m (No. 221)
Symmetry-distinct sites (fractional):
Ba: 0.000 0.000 0.500 (multiplicity 3)
Sr: 0.000 0.000 0.000 (multiplicity 1)
P: 0.500 0.500 0.500 (multiplicity 1)



(6)
Crystalline Ba3SrP at its relaxed geometry, computed with PBEsol.

Computed properties:
- Fermi-level density of states (states/eV/atom) = 1.12
- E above lowest polymorph (meV/atom) = 0.0
- formation energy (meV per atom) = -407.7

a = 6.349 Å, b = 6.349 Å, c = 6.349 Å
α = 90.00°, β = 90.00°, γ = 90.00°
Space group Pm-3m (No. 221)
Symmetry-distinct sites (fractional):
Ba: 0.000 0.000 0.500 (multiplicity 3)
Sr: 0.500 0.500 0.500 (multiplicity 1)
P: 0.000 0.000 0.000 (multiplicity 1)



(7)
Crystalline BaTaP at its relaxed geometry, computed with PBEsol.

Computed properties:
- Fermi-level density of states (states/eV/atom) = 0.62
- formation energy (meV per atom) = -50.8

a = 3.5935 Å, b = 3.5935 Å, c = 6.6117 Å
α = 90.00°, β = 90.00°, γ = 120.00°
Space group P3m1 (No. 156)
Symmetry-distinct sites (fractional):
Ba: 0.0000 0.0000 0.0000 (multiplicity 1)
Ta: 0.6667 0.3333 0.4718 (multiplicity 1)
P: 0.3333 0.6667 0.6644 (multiplicity 1)



(8)
Crystalline BaTa2P at its relaxed geometry, computed with PBEsol.

Computed properties:
- Fermi-level density of states (states/eV/atom) = 1.04
- formation energy (meV per atom) = 219.6

a = 3.270 Å, b = 3.866 Å, c = 15.079 Å
α = 90.00°, β = 90.00°, γ = 90.00°
Space group Imm2 (No. 44)
Symmetry-distinct sites (fractional):
Ba: 0.000 0.000 0.000 (multiplicity 2)
Ta: 0.000 0.000 0.329 (multiplicity 2)
Ta: 0.000 0.500 0.203 (multiplicity 2)
P: 0.000 0.500 0.700 (multiplicity 2)



(9)
Crystalline Ba4TaP at its relaxed geometry, computed with PBEsol.

Computed properties:
- Fermi-level density of states (states/eV/atom) = 0.72
- formation energy (meV per atom) = 1122.0

a = 9.541 Å, b = 9.541 Å, c = 9.541 Å
α = 90.00°, β = 90.00°, γ = 90.00°
Space group F-43m (No. 216)
Symmetry-distinct sites (fractional):
Ba: 0.124 0.124 0.124 (multiplicity 16)
Ta: 0.000 0.000 0.500 (multiplicity 4)
P: 0.250 0.250 0.750 (multiplicity 4)



(10)
Crystalline BaTcP2 at its relaxed geometry, computed with PBEsol.

Computed properties:
- Fermi-level density of states (states/eV/atom) = 0.76
- E above lowest polymorph (meV/atom) = 417.6
- formation energy (meV per atom) = -59.9

a = 3.094 Å, b = 3.659 Å, c = 7.635 Å
α = 90.00°, β = 90.00°, γ = 90.00°
Space group Pmm2 (No. 25)
Symmetry-distinct sites (fractional):
Ba: 0.000 0.000 0.000 (multiplicity 1)
Tc: 0.500 0.500 0.559 (multiplicity 1)
P: 0.000 0.000 0.592 (multiplicity 1)
P: 0.500 0.500 0.266 (multiplicity 1)



(11)
Crystalline BaTcP at its relaxed geometry, computed with PBEsol.

Computed properties:
- Fermi-level density of states (states/eV/atom) = 0.38
- formation energy (meV per atom) = -351.5

a = 3.9900 Å, b = 3.9900 Å, c = 5.1091 Å
α = 90.00°, β = 90.00°, γ = 120.00°
Space group P-6m2 (No. 187)
Symmetry-distinct sites (fractional):
Ba: 0.0000 0.0000 0.0000 (multiplicity 1)
Tc: 0.6667 0.3333 0.5000 (multiplicity 1)
P: 0.3333 0.6667 0.5000 (multiplicity 1)



(12)
Crystalline Ba2TcP at its relaxed geometry, computed with PBEsol.

Computed properties:
- Fermi-level density of states (states/eV/atom) = 0.84
- formation energy (meV per atom) = 466.4

a = 6.716 Å, b = 8.921 Å, c = 3.485 Å
α = 90.00°, β = 90.00°, γ = 90.00°
Space group Cmmm (No. 65)
Symmetry-distinct sites (fractional):
Ba: 0.250 0.250 0.000 (multiplicity 4)
Tc: 0.000 0.000 0.500 (multiplicity 2)
P: 0.000 0.500 0.500 (multiplicity 2)



(13)
Crystalline BaTcP2 at its relaxed geometry, computed with PBEsol.

Computed properties:
- Fermi-level density of states (states/eV/atom) = 0.54
- E above lowest polymorph (meV/atom) = 0.0
- formation energy (meV per atom) = -477.6

a = 7.593 Å, b = 3.859 Å, c = 6.156 Å
α = 90.00°, β = 100.91°, γ = 90.00°
Space group Cm (No. 8)
Symmetry-distinct sites (fractional):
Ba: 0.000 0.000 0.000 (multiplicity 2)
Tc: 0.288 0.000 0.535 (multiplicity 2)
P: 0.101 0.500 0.627 (multiplicity 2)
P: 0.246 0.500 0.334 (multiplicity 2)



(14)
Crystalline Ba3TeP at its relaxed geometry, computed with PBEsol.

Computed properties:
- Fermi-level density of states (states/eV/atom) = 0.63
- energy (eV per atom) = -3.49

a = 6.313 Å, b = 6.313 Å, c = 6.313 Å
α = 90.00°, β = 90.00°, γ = 90.00°
Space group Pm-3m (No. 221)
Symmetry-distinct sites (fractional):
Ba: 0.000 0.000 0.500 (multiplicity 3)
Te: 0.000 0.000 0.000 (multiplicity 1)
P: 0.500 0.500 0.500 (multiplicity 1)



(15)
Crystalline BaTe2P4 at its relaxed geometry, computed with PBEsol.

Computed properties:
- energy (eV per atom) = -5.14

a = 16.313 Å, b = 6.439 Å, c = 7.015 Å
α = 90.00°, β = 90.00°, γ = 90.00°
Space group Pnma (No. 62)
Symmetry-distinct sites (fractional):
Ba: 0.163 0.250 0.104 (multiplicity 4)
Te: 0.062 0.750 0.944 (multiplicity 4)
Te: 0.249 0.250 0.600 (multiplicity 4)
P: 0.066 0.009 0.462 (multiplicity 8)
P: 0.095 0.250 0.674 (multiplicity 4)
P: 0.124 0.750 0.621 (multiplicity 4)



(16)
Crystalline BaTiP3 at its relaxed geometry, computed with PBEsol.

Computed properties:
- Fermi-level density of states (states/eV/atom) = 0.62
- formation energy (meV per atom) = -623.3

a = 4.774 Å, b = 4.774 Å, c = 4.774 Å
α = 90.00°, β = 90.00°, γ = 90.00°
Space group Pm-3m (No. 221)
Symmetry-distinct sites (fractional):
Ba: 0.000 0.000 0.000 (multiplicity 1)
Ti: 0.500 0.500 0.500 (multiplicity 1)
P: 0.000 0.500 0.500 (multiplicity 3)



(17)
Crystalline BaZr2TiP at its relaxed geometry, computed with PBEsol.

Computed properties:
- Fermi-level density of states (states/eV/atom) = 1.18
- formation energy (meV per atom) = 1900.7

a = 5.248 Å, b = 5.248 Å, c = 4.684 Å
α = 90.00°, β = 90.00°, γ = 90.00°
Space group P4/mmm (No. 123)
Symmetry-distinct sites (fractional):
Ba: 0.000 0.000 0.000 (multiplicity 1)
Zr: 0.000 0.500 0.000 (multiplicity 2)
Ti: 0.000 0.000 0.500 (multiplicity 1)
P: 0.500 0.500 0.500 (multiplicity 1)



(18)
Crystalline Ba2TlP2 at its relaxed geometry, computed with PBEsol.

Computed properties:
- Fermi-level density of states (states/eV/atom) = 0.30
- formation energy (meV per atom) = -813.2

a = 7.969 Å, b = 7.969 Å, c = 4.560 Å
α = 90.00°, β = 90.00°, γ = 90.00°
Space group P4/mbm (No. 127)
Symmetry-distinct sites (fractional):
Ba: 0.184 0.316 0.000 (multiplicity 4)
Tl: 0.000 0.000 0.500 (multiplicity 2)
P: 0.098 0.598 0.500 (multiplicity 4)



(19)
Crystalline BaTlP2 at its relaxed geometry, computed with PBEsol.

Computed properties:
- Fermi-level density of states (states/eV/atom) = 0.37
- formation energy (meV per atom) = -270.3

a = 4.004 Å, b = 4.506 Å, c = 6.585 Å
α = 90.00°, β = 90.00°, γ = 90.00°
Space group Pmmm (No. 47)
Symmetry-distinct sites (fractional):
Ba: 0.000 0.000 0.000 (multiplicity 1)
Tl: 0.000 0.000 0.500 (multiplicity 1)
P: 0.500 0.500 0.164 (multiplicity 2)



(20)
Crystalline BaTl2P at its relaxed geometry, computed with PBEsol.

Computed properties:
- Fermi-level density of states (states/eV/atom) = 0.48
- formation energy (meV per atom) = -148.9

a = 3.852 Å, b = 3.852 Å, c = 7.338 Å
α = 90.00°, β = 90.00°, γ = 90.00°
Space group P4/mmm (No. 123)
Symmetry-distinct sites (fractional):
Ba: 0.000 0.000 0.000 (multiplicity 1)
Tl: 0.500 0.500 0.304 (multiplicity 2)
P: 0.000 0.000 0.500 (multiplicity 1)